Run P
Sm2Mg3Ag4 | PBE | optimized geometry

Unit cell a=6.072 b=7.966 c=8.948 alpha=90.00 beta=109.83 gamma=90.00
Atoms (fractional coordinates):
1 Sm 0.398 0.096 0.795
2 Sm 0.102 0.596 0.205
3 Sm 0.898 0.404 0.795
4 Sm 0.602 0.904 0.205
5 Ag 0.813 0.250 0.127
6 Ag 0.171 0.974 0.342
7 Ag 0.187 0.750 0.873
8 Ag 0.671 0.526 0.342
9 Ag 0.687 0.750 0.873
10 Ag 0.329 0.474 0.658
11 Ag 0.829 0.026 0.658
12 Ag 0.313 0.250 0.127
13 Mg 0.000 0.000 0.000
14 Mg 0.519 0.750 0.539
15 Mg 0.981 0.250 0.461
16 Mg 0.500 0.500 0.000
17 Mg 0.481 0.250 0.461
18 Mg 0.019 0.750 0.539

Values from the calculation:
The calculation puts the density at 6.6 g/cm³. As for the total magnetic moment: 0.0 Bohr magnetons per cell.

Run Q
Sm2Mg3Ag4 | PBE | optimized geometry

Unit cell a=4.944 b=4.935 c=9.501 alpha=86.06 beta=85.89 gamma=61.23
Atoms (fractional coordinates):
1 Mg 0.305 0.306 0.417
2 Mg 0.695 0.694 0.583
3 Mg 0.000 0.000 0.000
4 Sm 0.351 0.351 0.777
5 Sm 0.649 0.649 0.223
6 Ag 0.323 0.323 0.097
7 Ag 0.677 0.677 0.903
8 Ag 0.032 0.030 0.642
9 Ag 0.968 0.970 0.358

Values from the calculation:
The calculation puts the density at 6.6 g/cm³. As for the total magnetic moment: 0.0 Bohr magnetons per cell.

The structure with the most favorable energy is run Q; the runner-up is 19 meV/atom above it.